[1]
## TbDy5HoTm2 (PBE-GGA)

Data for TbDy5HoTm2 after structural relaxation.

The value obtained for the electronic total energy is -4.4142 eV/atom. Its mass density is 8.54 Mg/m³. As for the total magnetic moment: 0.00 μB/atom. The volume comes out at 1146.48 Å³/cell. The formation enthalpy at 0 K comes out at 1.4 eV/f.u.

The space group is Cmc2_1 (No. 36) and the conventional cell measures 5.549, 19.704 and 10.486 Å, with angles of 90.00, 90.00 and 90.00 degrees. Symmetry generates all atoms from Tb at (0.000, 0.086, 0.000), Dy at (0.000, 0.021, 0.284), Dy at (0.000, 0.111, 0.568), Dy at (0.000, 0.201, 0.253), Dy at (0.000, 0.219, 0.856), Dy at (0.000, 0.482, 0.568), Ho at (0.000, 0.301, 0.557), Tm at (0.000, 0.386, 0.863) and Tm at (0.000, 0.390, 0.283).


[2]
## TbDyHo2Tm6 (PBE-GGA)

Data for TbDyHo2Tm6 after structural relaxation.

The value obtained for the electronic total energy is -4.3979 eV/atom. Its mass density is 8.95 Mg/m³. As for the total magnetic moment: 0.00 μB/atom. The volume comes out at 1234.93 Å³/cell. The formation enthalpy at 0 K comes out at 1.2 eV/f.u.

The space group is C2/c (No. 15) and the conventional cell measures 8.924, 14.818 and 9.423 Å, with angles of 90.00, 97.65 and 90.00 degrees. Symmetry generates all atoms from Tb at (0.000, 0.024, 0.250), Dy at (0.000, 0.409, 0.750), Ho at (0.249, 0.053, 0.545), Tm at (0.063, 0.188, 0.943), Tm at (0.102, 0.393, 0.119) and Tm at (0.204, 0.225, 0.316).


[3]
## TbDy6Ho3Tm2 (PBE-GGA)

Data for TbDy6Ho3Tm2 after structural relaxation.

The value obtained for the electronic total energy is -4.5581 eV/atom. Its mass density is 8.82 Mg/m³. As for the total magnetic moment: 0.00 μB/atom. The volume comes out at 740.42 Å³/cell. The formation enthalpy at 0 K comes out at 0.2 eV/f.u.

The space group is C2/m (No. 12) and the conventional cell measures 6.103, 10.558 and 11.668 Å, with angles of 90.00, 99.98 and 90.00 degrees. Symmetry generates all atoms from Tb at (0.000, 0.000, 0.000), Dy at (0.250, 0.000, 0.750), Dy at (0.250, 0.167, 0.250), Ho at (0.000, 0.167, 0.500), Ho at (0.000, 0.500, 0.500) and Tm at (0.000, 0.333, 0.000).


[4]
## Tb5Dy2HoTm (PBE-GGA)

Data for Tb5Dy2HoTm after structural relaxation.

The value obtained for the electronic total energy is -4.4500 eV/atom. Its mass density is 8.32 Mg/m³. As for the total magnetic moment: 0.00 μB/atom. The volume comes out at 1160.69 Å³/cell. The formation enthalpy at 0 K comes out at 1.4 eV/f.u.

The space group is Cmc2_1 (No. 36) and the conventional cell measures 5.559, 19.831 and 10.529 Å, with angles of 90.00, 90.00 and 90.00 degrees. Symmetry generates all atoms from Tb at (0.000, 0.018, 0.000), Tb at (0.000, 0.281, 0.287), Tb at (0.000, 0.300, 0.686), Tb at (0.000, 0.388, 0.001), Tb at (0.000, 0.481, 0.719), Dy at (0.000, 0.110, 0.716), Dy at (0.000, 0.114, 0.294), Ho at (0.000, 0.200, 0.989) and Tm at (0.000, 0.411, 0.438).


[5]
## Tb2DyHo6Tm (PBE-GGA)

Data for Tb2DyHo6Tm after structural relaxation.

The value obtained for the electronic total energy is -4.4612 eV/atom. Its mass density is 8.67 Mg/m³. As for the total magnetic moment: 0.00 μB/atom. The volume comes out at 1254.90 Å³/cell. The formation enthalpy at 0 K comes out at 1.2 eV/f.u.

The space group is C2/c (No. 15) and the conventional cell measures 8.953, 14.904 and 9.497 Å, with angles of 90.00, 98.01 and 90.00 degrees. Symmetry generates all atoms from Tb at (0.249, 0.052, 0.044), Dy at (0.000, 0.022, 0.750), Ho at (0.062, 0.188, 0.444), Ho at (0.103, 0.393, 0.620), Ho at (0.205, 0.224, 0.814) and Tm at (0.000, 0.409, 0.250).


[6]
## TbDy2HoTm6 (PBE-GGA)

Data for TbDy2HoTm6 after structural relaxation.

The value obtained for the electronic total energy is -4.4016 eV/atom. Its mass density is 8.93 Mg/m³. As for the total magnetic moment: 0.00 μB/atom. The volume comes out at 1236.24 Å³/cell. The formation enthalpy at 0 K comes out at 1.2 eV/f.u.

The space group is C2/c (No. 15) and the conventional cell measures 8.916, 14.829 and 9.438 Å, with angles of 90.00, 97.85 and 90.00 degrees. Symmetry generates all atoms from Tb at (0.000, 0.023, 0.250), Dy at (0.249, 0.053, 0.544), Ho at (0.000, 0.409, 0.750), Tm at (0.063, 0.188, 0.943), Tm at (0.103, 0.393, 0.119) and Tm at (0.204, 0.225, 0.316).


[7]
## TbDyHo5Tm2 (PBE-GGA)

Data for TbDyHo5Tm2 after structural relaxation.

The value obtained for the electronic total energy is -4.4023 eV/atom. Its mass density is 8.64 Mg/m³. As for the total magnetic moment: 0.00 μB/atom. The volume comes out at 1140.29 Å³/cell. The formation enthalpy at 0 K comes out at 1.4 eV/f.u.

The space group is Cmc2_1 (No. 36) and the conventional cell measures 5.537, 19.670 and 10.469 Å, with angles of 90.00, 90.00 and 90.00 degrees. Symmetry generates all atoms from Tb at (0.000, 0.200, 0.000), Dy at (0.000, 0.414, 0.443), Ho at (0.000, 0.018, 0.013), Ho at (0.000, 0.281, 0.297), Ho at (0.000, 0.300, 0.697), Ho at (0.000, 0.391, 0.012), Ho at (0.000, 0.479, 0.726), Tm at (0.000, 0.110, 0.726) and Tm at (0.000, 0.113, 0.307).


[8]
## TbDyHo2Tm (PBE-GGA)

Data for TbDyHo2Tm after structural relaxation.

The value obtained for the electronic total energy is -4.1737 eV/atom. Its mass density is 8.12 Mg/m³. As for the total magnetic moment: 0.00 μB/atom. The volume comes out at 670.98 Å³/cell. The formation enthalpy at 0 K comes out at 2.0 eV/f.u.

The space group is Cmcm (No. 63) and the conventional cell measures 8.287, 11.319 and 7.153 Å, with angles of 90.00, 90.00 and 90.00 degrees. Symmetry generates all atoms from Tb at (0.000, 0.225, 0.250), Dy at (0.000, 0.225, 0.750), Ho at (0.191, 0.000, 0.000) and Tm at (0.000, 0.500, 0.250).


[9]
## Tb2DyHoTm6 (PBE-GGA)

Data for Tb2DyHoTm6 after structural relaxation.

The value obtained for the electronic total energy is -4.4053 eV/atom. Its mass density is 8.91 Mg/m³. As for the total magnetic moment: 0.00 μB/atom. The volume comes out at 1237.29 Å³/cell. The formation enthalpy at 0 K comes out at 1.2 eV/f.u.

The space group is C2/c (No. 15) and the conventional cell measures 8.909, 14.831 and 9.460 Å, with angles of 90.00, 98.14 and 90.00 degrees. Symmetry generates all atoms from Tb at (0.248, 0.053, 0.044), Dy at (0.000, 0.022, 0.750), Ho at (0.000, 0.408, 0.250), Tm at (0.063, 0.189, 0.443), Tm at (0.103, 0.393, 0.619) and Tm at (0.203, 0.224, 0.815).


[10]
## TbDy2Ho3Tm6 (PBE-GGA)

Data for TbDy2Ho3Tm6 after structural relaxation.

The value obtained for the electronic total energy is -4.5103 eV/atom. Its mass density is 9.07 Mg/m³. As for the total magnetic moment: 0.00 μB/atom. The volume comes out at 729.21 Å³/cell. The formation enthalpy at 0 K comes out at 0.3 eV/f.u.

The space group is C2/m (No. 12) and the conventional cell measures 6.075, 10.508 and 11.599 Å, with angles of 90.00, 100.02 and 90.00 degrees. Symmetry generates all atoms from Tb at (0.000, 0.000, 0.000), Dy at (0.000, 0.333, 0.000), Ho at (0.000, 0.167, 0.500), Ho at (0.000, 0.500, 0.500), Tm at (0.250, 0.000, 0.749) and Tm at (0.250, 0.167, 0.251).


[11]
## Tb6DyHo3Tm2 (PBE-GGA)

Data for Tb6DyHo3Tm2 after structural relaxation.

The value obtained for the electronic total energy is -4.5710 eV/atom. Its mass density is 8.68 Mg/m³. As for the total magnetic moment: 0.00 μB/atom. The volume comes out at 745.31 Å³/cell. The formation enthalpy at 0 K comes out at 0.2 eV/f.u.

The space group is C2/m (No. 12) and the conventional cell measures 6.118, 10.587 and 11.685 Å, with angles of 90.00, 100.00 and 90.00 degrees. Symmetry generates all atoms from Tb at (0.250, 0.000, 0.249), Tb at (0.250, 0.167, 0.751), Dy at (0.000, 0.500, 0.000), Ho at (0.000, 0.000, 0.500), Ho at (0.000, 0.333, 0.500) and Tm at (0.000, 0.167, 0.000).


[12]
## Tb2Dy2HoTm (PBE-GGA)

Data for Tb2Dy2HoTm after structural relaxation.

The value obtained for the electronic total energy is -4.3092 eV/atom. Its mass density is 8.46 Mg/m³. As for the total magnetic moment: 0.00 μB/atom. The volume comes out at 383.32 Å³/cell. The formation enthalpy at 0 K comes out at 1.7 eV/f.u.

The space group is Pnnm (No. 58) and the conventional cell measures 6.517, 17.577 and 3.346 Å, with angles of 90.00, 90.00 and 90.00 degrees. Symmetry generates all atoms from Tb at (0.234, 0.183, 0.000), Dy at (0.231, 0.353, 0.500), Ho at (0.000, 0.500, 0.000) and Tm at (0.000, 0.000, 0.000).